Material: NdScPd2
Method: DFT, PBE
State: optimized geometry

The space group is R-3m (No. 166, hexagonal axes) and the conventional cell measures 4.6349, 4.6349 and 14.1809 Å, with angles of 90.00, 90.00 and 120.00 degrees. The asymmetric unit holds Nd at (0.0000, 0.0000, 0.0000), Sc at (0.0000, 0.0000, 0.5000) and Pd at (0.0000, 0.0000, 0.2184).

The total magnetic moment is 0.0000 μB/atom. The calculation puts the mass density at 7.591 g/cm³. For the relative energy among the computed polymorphs, the calculation gives 16.3 meV per atom.